VASP calculation (PBE with a Hubbard U) on crystalline NbTlNi2F at its relaxed geometry.

Computed properties:
Space-group type ... P4/mmm, No. 123
Density ... 6.25 g/cm³
DFT total energy ... -12.94 eV per formula unit

a b c (Å): 4.4508 5.8197 4.4508
angles (deg): 90.00 90.00 90.00
Closest atoms and distances in Å follow each position.
Sites, in units of the cell vectors:
Ni1 0.0000 0.0000 0.5000  2 Nb 2.23
Tl1 0.0000 0.5000 0.0000  2 Nb 2.91, 4 F 3.15
Ni2 0.5000 0.0000 0.0000  2 Nb 2.23
Nb1 0.0000 0.0000 0.0000  4 Ni 2.23
F1 0.5000 0.5000 0.5000  4 Tl 3.15